Entry 1:
Here is a relaxed structure of ScCrCo3 from Alexandria via LeMat-Bulk. Energies are from GGA-PBEsol.

Unit cell a=4.1328 b=4.1328 c=4.1328 alpha=90.00 beta=90.00 gamma=90.00
Fractional positions:
Sc1 0.5000 0.5000 0.5000
Cr1 0.0000 0.0000 0.0000
Co1 0.0000 0.5000 0.0000
Co2 0.0000 0.0000 0.5000
Co3 0.5000 0.0000 0.0000

For the magnetic moment, the calculation gives 0.0 μB per formula unit. Its symmetry is Pm-3m (221). As for the formation energy: 0.574 eV per atom.

Entry 2:
Here is a relaxed structure of ScCr2Co from Alexandria via LeMat-Bulk. Energies are from GGA-PBEsol.

Unit cell a=2.5918 b=4.3199 c=4.6304 alpha=90.00 beta=102.37 gamma=90.00
Fractional positions:
Co1 0.0000 0.5000 0.5000
Cr1 0.7648 0.0000 0.7468
Cr2 0.2352 0.0000 0.2532
Sc1 0.5000 0.5000 0.0000

For the magnetic moment, the calculation gives 0.0 μB per formula unit. The offset from the most stable computed form is 185 meV per atom. Its symmetry is P2/m (10). As for the formation energy: 0.312 eV per atom.

- Which formula does entry 2 have?
  ScCr2Co

- Which formula does entry 1 have?
  ScCrCo3